[1]
This record from the Alexandria database describes Mn2VPd2 after structural relaxation. The functional is PBE.

Properties
- Polymorph energy (0 for the lowest one): 191 meV/atom
- Volume: 14.74 A^3/atom
- Energy: -36.14 eV/cell

Lattice parameters (Å, degrees): 5.919 5.919 5.919 143.27 143.27 52.91
Positions (direct):
Mn (0.090, 0.090, 0.000)
Mn (0.910, 0.910, 0.000)
V (0.500, 0.500, 0.000)
Pd (0.250, 0.750, 0.500)
Pd (0.750, 0.250, 0.500)

=====

[2]
This record from the Alexandria database describes Mn2VPd after structural relaxation. The functional is PBE.

Properties
- Polymorph energy (0 for the lowest one): 0 meV/atom
- Volume: 14.01 A^3/atom
- Energy: -33.20 eV/cell

Lattice parameters (Å, degrees): 4.119 4.119 3.303 90.00 90.00 90.00
Positions (direct):
Mn (0.000, 0.500, 0.000)
Mn (0.500, 0.000, 0.000)
V (0.000, 0.000, 0.500)
Pd (0.500, 0.500, 0.500)

=====

[3]
This record from the Alexandria database describes MnV3Pd after structural relaxation. The functional is PBE.

Properties
- Polymorph energy (0 for the lowest one): 0 meV/atom
- Volume: 15.60 A^3/atom
- Energy: -38.46 eV/cell

Lattice parameters (Å, degrees): 4.273 4.273 4.273 90.00 90.00 90.00
Positions (direct):
Mn (0.000, 0.000, 0.000)
V (0.000, 0.000, 0.500)
V (0.000, 0.500, 0.000)
V (0.500, 0.000, 0.000)
Pd (0.500, 0.500, 0.500)

=====

[4]
This record from the Alexandria database describes MnVPd2 after structural relaxation. The functional is PBE.

Properties
- Volume: 14.63 A^3/atom
- Energy: -28.97 eV/cell

Lattice parameters (Å, degrees): 4.358 4.358 4.358 60.00 60.00 60.00
Positions (direct):
Mn (0.000, 0.000, 0.000)
V (0.250, 0.250, 0.250)
Pd (0.500, 0.500, 0.500)
Pd (0.750, 0.750, 0.750)

=====

[5]
This record from the Alexandria database describes Mn2VPd after structural relaxation. The functional is PBE.

Properties
- Polymorph energy (0 for the lowest one): 31 meV/atom
- Volume: 14.01 A^3/atom
- Energy: -33.07 eV/cell

Lattice parameters (Å, degrees): 4.296 4.296 4.296 60.00 60.00 60.00
Positions (direct):
Mn (0.250, 0.250, 0.250)
Mn (0.750, 0.750, 0.750)
V (0.000, 0.000, 0.000)
Pd (0.500, 0.500, 0.500)

=====

[6]
This record from the Alexandria database describes ZrMn2VPd after structural relaxation. The functional is PBE.

Properties
- Volume: 17.11 A^3/atom
- Energy: -38.56 eV/cell

Lattice parameters (Å, degrees): 4.240 4.240 4.760 90.00 90.00 90.00
Positions (direct):
Zr (0.000, 0.000, 0.000)
Mn (0.000, 0.500, 0.500)
Mn (0.500, 0.000, 0.500)
V (0.500, 0.500, 0.500)
Pd (0.500, 0.500, 0.000)

=====

[7]
This record from the Alexandria database describes Mn2PdW after structural relaxation. The functional is PBE.

Properties
- Polymorph energy (0 for the lowest one): 0 meV/atom
- Volume: 13.30 A^3/atom
- Energy: -35.28 eV/cell

Lattice parameters (Å, degrees): 4.222 4.222 4.222 60.00 60.00 60.00
Positions (direct):
Mn (0.250, 0.250, 0.250)
Mn (0.750, 0.750, 0.750)
Pd (0.000, 0.000, 0.000)
W (0.500, 0.500, 0.500)

=====

[8]
This record from the Alexandria database describes Mn2PdW after structural relaxation. The functional is PBE.

Properties
- Polymorph energy (0 for the lowest one): 539 meV/atom
- Volume: 14.62 A^3/atom
- Energy: -66.25 eV/cell

Lattice parameters (Å, degrees): 5.412 5.412 5.412 103.21 103.21 122.90
Positions (direct):
Mn (0.108, 0.125, 0.483)
Mn (0.375, 0.892, 0.017)
Mn (0.642, 0.625, 0.517)
Mn (0.875, 0.358, 0.983)
Pd (0.250, 0.750, 0.500)
Pd (0.500, 0.500, 0.000)
W (0.000, 0.000, 0.000)
W (0.750, 0.250, 0.500)

=====

| no. | energy of formation (meV per atom) |
| --- | --- |
| 1 | 341 |
| 2 | -137 |
| 3 | 652 |
| 4 | -74 |
| 5 | -106 |
| 6 | 528 |
| 7 | 301 |
| 8 | 840 |